Here is crystalline Nd6IrRu2 at its relaxed geometry from the Alexandria database. Energies are from PBE-GGA.

Distance to the lowest polymorph of the same formula ... 0.0000 eV per atom

CIF file:
```
data_Nd6IrRu2
_cell_length_a 9.757
_cell_length_b 9.787
_cell_length_c 10.071
_cell_angle_alpha 90.00
_cell_angle_beta 90.00
_cell_angle_gamma 90.00
_space_group_name_H-M_alt 'I m m m'
_space_group_IT_number 71
_space_group_name_Hall '-I 2 2'
loop_
_atom_site_label
_atom_site_type_symbol
_atom_site_fract_x
_atom_site_fract_y
_atom_site_fract_z
_atom_site_occupancy
Nd1 Nd 0.000 0.186 0.236 1
Nd2 Nd 0.187 0.500 0.331 1
Nd3 Nd 0.245 0.326 0.000 1
Ir1 Ir 0.000 0.000 0.000 1
Ir2 Ir 0.000 0.000 0.500 1
Ru1 Ru 0.000 0.329 0.500 1
Ru2 Ru 0.000 0.500 0.120 1
```


Here is crystalline ScPd3Au3 at its relaxed geometry from the Alexandria database. Energies are from PBE-GGA.

Distance to the lowest polymorph of the same formula ... 0.0000 eV per atom

CIF file:
```
data_ScPd3Au3
_cell_length_a 7.6163
_cell_length_b 7.6163
_cell_length_c 14.2565
_cell_angle_alpha 90.00
_cell_angle_beta 90.00
_cell_angle_gamma 120.00
_space_group_name_H-M_alt 'R -3'
_space_group_IT_number 148
_space_group_name_Hall '-R 3'
loop_
_atom_site_label
_atom_site_type_symbol
_atom_site_fract_x
_atom_site_fract_y
_atom_site_fract_z
_atom_site_occupancy
Sc1 Sc 0.0000 0.0000 0.2370 1
Pd1 Pd 0.0467 0.8075 0.9181 1
Au1 Au 0.0432 0.8019 0.4164 1
```


Here is crystalline TaAg2Cl at its relaxed geometry from the Alexandria database. Energies are from PBE-GGA.

Distance to the lowest polymorph of the same formula ... 0.4265 eV per atom

CIF file:
```
data_TaAg2Cl
_cell_length_a 2.910
_cell_length_b 4.695
_cell_length_c 5.377
_cell_angle_alpha 90.00
_cell_angle_beta 90.00
_cell_angle_gamma 90.00
_space_group_name_H-M_alt 'P m m m'
_space_group_IT_number 47
loop_
_space_group_symop_operation_xyz
'x,y,z'
'-x,-y,-z'
'-x,-y,z'
'x,y,-z'
'x,-y,-z'
'-x,y,z'
'-x,y,-z'
'x,-y,z'
loop_
_atom_site_label
_atom_site_type_symbol
_atom_site_fract_x
_atom_site_fract_y
_atom_site_fract_z
_atom_site_occupancy
Ta1 Ta 0.000 0.000 0.000 1
Ag1 Ag 0.000 0.500 0.500 1
Ag2 Ag 0.500 0.000 0.500 1
Cl1 Cl 0.500 0.500 0.000 1
```


Here is crystalline Pr5Dy2Mg at its relaxed geometry from the Alexandria database. Energies are from PBE-GGA.

CIF file:
```
data_Pr5Dy2Mg
_cell_length_a 7.326
_cell_length_b 11.576
_cell_length_c 7.320
_cell_angle_alpha 90.00
_cell_angle_beta 119.99
_cell_angle_gamma 90.00
_space_group_name_H-M_alt 'C 1 m 1'
_space_group_IT_number 8
loop_
_space_group_symop_operation_xyz
'x,y,z'
'x,-y,z'
'x+1/2,y+1/2,z'
'x+1/2,-y+1/2,z'
loop_
_atom_site_label
_atom_site_type_symbol
_atom_site_fract_x
_atom_site_fract_y
_atom_site_fract_z
_atom_site_occupancy
Pr1 Pr 0.000 0.000 0.000 1
Pr2 Pr 0.000 0.000 0.480 1
Pr3 Pr 0.022 0.500 0.001 1
Pr4 Pr 0.342 0.250 0.662 1
Dy1 Dy 0.345 0.242 0.168 1
Mg1 Mg 0.007 0.500 0.492 1
```


The following E values (in eV/f.u.) correspond, in order, to the records above: -58.4; -35.0; -17.6; -34.7.